Entry 1:
Li2LaY2Ga2 | Alexandria | PBE-GGA | relaxed; calculated formation energy = -0.30 eV per atom; symmetry = R-3m; uncorrected energy = -0.1567 Ha/atom; ρ = 4.57 Mg/m³; magnetization = 0.0 μB/f.u.
1.0
-2.3370 3.9995 -0.7417
-2.7059 0.4647 -3.8039
-8.6763 -1.7501 3.0654
Li La Y Ga
2 1 2 2
Cartesian
-4.9339 2.2485 -2.0011 Li
-8.7854 0.4656 0.5209 Li
0.0000 0.0000 0.0000 La
-5.9883 -0.5058 1.3053 Y
-7.7310 3.2199 -2.7855 Y
-10.4016 1.9837 -1.0368 Ga
-3.3177 0.7304 -0.4435 Ga



Entry 2:
LiLa2ZnGa6 | Alexandria | PBE-GGA | relaxed; calculated formation energy = -0.37 eV per atom; symmetry = R-3m; uncorrected energy = -0.1282 Ha/atom; ρ = 6.15 Mg/m³; magnetization = 0.0 μB/f.u.
1.0
6.4274 0.0000 0.0000
3.2137 5.5663 0.0000
3.2137 1.8554 11.5958
Li La Zn Ga
2 4 2 12
Cartesian
0.0000 0.0000 0.0000 Li
6.4274 3.7109 5.7979 Li
9.6411 5.5663 3.7628 La
3.2137 1.8554 7.8329 La
9.6411 5.5663 9.8134 La
3.2137 1.8554 1.7824 La
6.4274 3.7109 3.2628 Zn
6.4274 3.7109 8.3330 Zn
8.3368 2.6085 4.7247 Ga
6.4274 5.9157 4.7247 Ga
4.5180 2.6085 4.7247 Ga
4.5180 4.8133 6.8711 Ga
6.4274 1.5061 6.8711 Ga
8.3368 4.8133 6.8711 Ga
7.8036 2.9164 10.4543 Ga
6.4274 5.2999 10.4543 Ga
5.0513 2.9164 10.4543 Ga
5.0513 4.5054 1.1415 Ga
6.4274 2.1218 1.1415 Ga
7.8036 4.5054 1.1415 Ga



Entry 3:
LiLa4Zn2Ga | Alexandria | PBE-GGA | relaxed; calculated formation energy = -0.29 eV per atom; symmetry = R-3m; uncorrected energy = -0.1357 Ha/atom; ρ = 5.85 Mg/m³; magnetization = 0.0 μB/f.u.
1.0
5.3477 0.0000 0.0000
2.6738 4.6312 0.0000
2.6738 1.5437 8.7482
Li La Zn Ga
1 4 2 1
Cartesian
0.0000 0.0000 0.0000 Li
5.3477 3.0875 7.5713 La
8.0215 4.6312 3.3421 La
2.6738 1.5437 5.4061 La
5.3477 3.0875 1.1769 La
8.0215 4.6312 6.7056 Zn
2.6738 1.5437 2.0425 Zn
5.3477 3.0875 4.3741 Ga



Entry 4:
LiLaZn4Ga2 | Alexandria | PBE-GGA | relaxed; calculated formation energy = -0.28 eV per atom; symmetry = R-3m; uncorrected energy = -0.0931 Ha/atom; ρ = 6.30 Mg/m³; magnetization = 0.0 μB/f.u.
1.0
4.4077 0.0000 0.0000
2.2039 3.8172 0.0000
2.2039 1.2724 8.5708
Li La Zn Ga
1 1 4 2
Cartesian
4.4077 2.5448 4.2854 Li
0.0000 0.0000 0.0000 La
4.4077 2.5448 6.8357 Zn
6.6116 3.8172 3.4319 Zn
2.2039 1.2724 5.1388 Zn
4.4077 2.5448 1.7350 Zn
6.6116 3.8172 6.2474 Ga
2.2039 1.2724 2.3233 Ga



Entry 5:
La2LuGa | Alexandria | PBE-GGA | relaxed; offset from the most stable computed form = 0.009 eV/atom; calculated formation energy = -0.22 eV per atom; symmetry = P4/mmm; uncorrected energy = -0.1679 Ha/atom; ρ = 7.12 Mg/m³; magnetization = 0.0 μB/f.u.
1.0
3.8173 0.0000 0.0000
0.0000 3.8173 0.0000
0.0000 0.0000 8.3654
Lu Ga La
1 1 2
Cartesian
1.9087 1.9087 4.1827 Lu
1.9087 1.9087 0.0000 Ga
0.0000 0.0000 6.5828 La
0.0000 0.0000 1.7826 La



Entry 6:
LaLuGa | Alexandria | PBE-GGA | relaxed; offset from the most stable computed form = 0.112 eV/atom; calculated formation energy = -0.24 eV per atom; symmetry = F-43m; uncorrected energy = -0.1615 Ha/atom; ρ = 6.98 Mg/m³; magnetization = 0.0 μB/f.u.
1.0
5.0529 0.0000 0.0000
2.5265 4.3760 0.0000
2.5265 1.4587 4.1257
Lu Ga La
1 1 1
Cartesian
0.0000 0.0000 0.0000 Lu
2.5265 1.4587 1.0314 Ga
5.0529 2.9173 2.0629 La



Entry 7:
La2LuGa | Alexandria | PBE-GGA | relaxed; offset from the most stable computed form = 0.000 eV/atom; calculated formation energy = -0.23 eV per atom; symmetry = P4/mmm; uncorrected energy = -0.1682 Ha/atom; ρ = 7.63 Mg/m³; magnetization = 0.0 μB/f.u.
1.0
-1.2757 4.7874 0.1261
-0.3424 -0.2169 4.7731
4.6162 1.2199 0.3866
Lu Ga La
1 1 2
Cartesian
1.4991 2.8952 2.6429 Lu
-0.6378 2.3937 0.0630 Ga
2.3081 0.6099 0.1933 La
-0.1712 -0.1085 2.3866 La



Entry 8:
LaLuGa4 | Alexandria | PBE-GGA | relaxed; calculated formation energy = -0.50 eV per atom; symmetry = F-43m; uncorrected energy = -0.1505 Ha/atom; ρ = 7.95 Mg/m³; magnetization = 0.0 μB/f.u.
1.0
-0.1431 -2.2349 -5.1276
4.7293 -1.7586 -2.4183
0.9201 -5.4756 -0.6919
Lu Ga La
1 4 1
Cartesian
1.3766 -2.3673 -2.0595 Lu
2.9814 -3.1805 -4.8026 Ga
1.0769 -5.0389 -3.9395 Ga
3.4414 -5.9181 -5.1486 Ga
3.5129 -4.8007 -2.5850 Ga
0.0000 0.0000 0.0000 La



Entry 9:
LaLu2Ga | Alexandria | PBE-GGA | relaxed; calculated formation energy = -0.29 eV per atom; symmetry = P4/mmm; uncorrected energy = -0.1666 Ha/atom; ρ = 8.44 Mg/m³; magnetization = 0.0 μB/f.u.
1.0
-0.3074 2.0685 2.8047
0.8278 -2.6916 2.0758
8.6909 2.1722 -0.6494
Lu Ga La
2 1 1
Cartesian
6.9605 1.7397 -0.5201 Lu
1.7304 0.4325 -0.1293 Lu
0.2602 -0.3116 2.4403 Ga
4.6057 0.7745 2.1156 La



Entry 10:
LaLuGa | Alexandria | PBE-GGA | relaxed; offset from the most stable computed form = 0.000 eV/atom; calculated formation energy = -0.35 eV per atom; symmetry = I4mm; uncorrected energy = -0.1657 Ha/atom; ρ = 7.67 Mg/m³; magnetization = 0.0 μB/f.u.
1.0
3.5532 0.0000 0.0000
0.0000 3.5532 0.0000
-1.7766 -1.7766 6.5772
Lu Ga La
1 1 1
Cartesian
0.0000 0.0000 4.1026 Lu
1.7766 1.7766 5.7824 Ga
1.7766 1.7766 1.2963 La



Entry 11:
LaLuGa | Alexandria | PBE-GGA | relaxed; offset from the most stable computed form = 0.066 eV/atom; calculated formation energy = -0.28 eV per atom; symmetry = P3m1; uncorrected energy = -0.1632 Ha/atom; ρ = 7.49 Mg/m³; magnetization = 0.0 μB/f.u.
1.0
3.9644 0.0000 0.0000
0.0000 4.9761 0.0000
0.0000 -2.4880 4.3094
Lu Ga La
1 1 1
Cartesian
0.5832 0.0000 0.0000 Lu
0.7696 0.0000 2.8729 Ga
2.6116 2.4880 1.4365 La



Entry 12:
LaLuMgGa | Alexandria | PBE-GGA | relaxed; calculated formation energy = -0.32 eV per atom; symmetry = F-43m; uncorrected energy = -0.1409 Ha/atom; ρ = 6.55 Mg/m³; magnetization = 0.0 μB/f.u.
1.0
-0.8534 4.6369 -2.3495
-4.9081 1.4666 -1.2282
-2.3231 3.9108 2.6567
Mg Lu Ga La
1 1 1 1
Cartesian
-6.0634 7.5107 -0.6907 Mg
0.0000 0.0000 0.0000 Lu
-2.0211 2.5036 -0.2302 Ga
-4.0423 5.0071 -0.4605 La



Entry 13:
LaLuGaNi | Alexandria | PBE-GGA | relaxed; calculated formation energy = -0.39 eV per atom; symmetry = F-43m; uncorrected energy = -0.1819 Ha/atom; ρ = 8.18 Mg/m³; magnetization = 0.0 μB/f.u.
1.0
5.0253 0.0000 0.0000
2.5127 4.3521 0.0000
2.5127 1.4507 4.1032
Ni Lu Ga La
1 1 1 1
Cartesian
2.5127 1.4507 1.0258 Ni
0.0000 0.0000 0.0000 Lu
7.5380 4.3521 3.0774 Ga
5.0253 2.9014 2.0516 La